# 1
First-principles (PBE) data for an optimized crystal structure of KCdTe2, as listed in the Alexandria database.

Cell: 8.899 6.279 3.272 Å, 80.92 81.66 132.13°
Sites, in units of the cell vectors:
Cd 0.000 0.500 0.500
K 0.500 0.500 0.000
Te 0.000 0.000 0.000
Te 0.500 0.000 0.500

- SG = No. 12
- energy relative to the elements, uncorrected (eV per atom) = -0.348

***

# 2
First-principles (PBE) data for an optimized crystal structure of KCdTe2, as listed in the Alexandria database.

Cell: 4.040 4.040 9.245 Å, 90.00 90.00 90.00°
Sites, in units of the cell vectors:
Cd 0.000 0.000 0.304
K 0.500 0.500 0.786
Te 0.000 0.000 0.999
Te 0.500 0.500 0.411

- SG = No. 99
- energy relative to the elements, uncorrected (eV per atom) = -0.401

***

# 3
First-principles (PBE) data for an optimized crystal structure of K2Cd2Te, as listed in the Alexandria database.

Cell: 8.282 8.282 5.289 Å, 90.00 90.00 90.00°
Sites, in units of the cell vectors:
K 0.185 0.685 0.500
K 0.685 0.815 0.500
K 0.815 0.315 0.500
K 0.315 0.185 0.500
Te 0.000 0.000 0.000
Te 0.500 0.500 0.000
Cd 0.377 0.877 0.000
Cd 0.877 0.623 0.000
Cd 0.623 0.123 0.000
Cd 0.123 0.377 0.000

- energy above the most stable polymorph in this dataset (eV/atom) = 0.061
- SG = No. 127
- energy relative to the elements, uncorrected (eV per atom) = -0.306

***

# 4
First-principles (PBE) data for an optimized crystal structure of K2ThCdTe4, as listed in the Alexandria database.

Cell: 4.531 7.981 8.711 Å, 109.05 90.00 90.00°
Sites, in units of the cell vectors:
K 0.500 0.000 0.500
K 0.000 0.500 0.500
Th 0.500 0.500 0.000
Cd 0.000 0.000 0.000
Te 0.500 0.227 0.196
Te 0.500 0.773 0.804
Te 0.000 0.273 0.779
Te 0.000 0.727 0.221

- SG = No. 10
- energy relative to the elements, uncorrected (eV per atom) = -0.985

***

# 5
First-principles (PBE) data for an optimized crystal structure of K2UCdTe4, as listed in the Alexandria database.

Cell: 4.478 7.927 8.645 Å, 109.06 90.00 90.00°
Last column: magnetic moment on the atom in μB.
Sites, in units of the cell vectors:
K 0.500 0.000 0.500  0.00
K 0.000 0.500 0.500  0.00
U 0.500 0.500 0.000  2.23
Cd 0.000 0.000 0.000  0.01
Te 0.500 0.232 0.193  -0.05
Te 0.500 0.768 0.807  -0.05
Te 0.000 0.278 0.784  -0.06
Te 0.000 0.722 0.216  -0.06

- SG = No. 10
- energy relative to the elements, uncorrected (eV per atom) = -0.760

***

# 6
First-principles (PBE) data for an optimized crystal structure of K4U3CdTe8, as listed in the Alexandria database.

Cell: 9.078 9.740 9.078 Å, 117.78 120.00 90.00°
Last column: magnetic moment on the atom in μB.
Sites, in units of the cell vectors:
K 0.500 0.000 0.000  0.00
K 0.500 0.000 0.500  0.00
K 0.000 0.000 0.000  0.00
K 0.000 0.000 0.500  0.00
U 0.500 0.500 0.000  2.61
U 0.500 0.500 0.500  2.61
U 0.000 0.500 0.500  2.61
Cd 0.000 0.500 0.000  0.04
Te 0.236 0.707 0.971  -0.05
Te 0.236 0.707 0.472  -0.05
Te 0.263 0.289 0.526  -0.06
Te 0.735 0.707 0.971  -0.05
Te 0.265 0.293 0.029  -0.05
Te 0.737 0.711 0.474  -0.06
Te 0.764 0.293 0.528  -0.05
Te 0.764 0.293 0.029  -0.05

- SG = No. 166
- energy relative to the elements, uncorrected (eV per atom) = -0.806

***

# 7
First-principles (PBE) data for an optimized crystal structure of K2UCdTe5, as listed in the Alexandria database.

Cell: 4.392 10.809 14.992 Å, 90.00 90.00 101.72°
Last column: magnetic moment on the atom in μB.
Sites, in units of the cell vectors:
K 0.875 0.749 0.824  0.00
K 0.120 0.239 0.687  0.00
K 0.125 0.251 0.324  0.00
K 0.880 0.761 0.187  0.00
U 0.797 0.594 0.520  0.89
U 0.203 0.406 0.020  0.89
Cd 0.564 0.128 0.929  0.00
Cd 0.436 0.872 0.429  0.00
Te 0.337 0.674 0.008  -0.08
Te 0.701 0.401 0.880  -0.05
Te 0.501 0.001 0.770  -0.03
Te 0.294 0.587 0.655  -0.06
Te 0.936 0.873 0.552  -0.05
Te 0.663 0.326 0.508  -0.08
Te 0.299 0.599 0.380  -0.05
Te 0.499 0.999 0.270  -0.03
Te 0.706 0.413 0.155  -0.06
Te 0.064 0.127 0.052  -0.05

- SG = No. 36
- energy relative to the elements, uncorrected (eV per atom) = -0.650

***

# 8
First-principles (PBE) data for an optimized crystal structure of KYCdTe3, as listed in the Alexandria database.

Cell: 4.511 9.535 10.787 Å, 107.56 90.00 90.00°
Sites, in units of the cell vectors:
K 0.250 0.211 0.238
K 0.750 0.789 0.762
Y 0.250 0.671 0.138
Y 0.750 0.329 0.862
Cd 0.250 0.083 0.607
Cd 0.750 0.917 0.393
Te 0.750 0.896 0.128
Te 0.250 0.104 0.872
Te 0.250 0.764 0.458
Te 0.750 0.236 0.542
Te 0.750 0.458 0.158
Te 0.250 0.542 0.842

- SG = No. 11
- energy relative to the elements, uncorrected (eV per atom) = -1.061